Material: Sm7VSe8O4
Method: DFT, PBE with a Hubbard U
State: optimized geometry

Unit cell a=3.995 b=14.304 c=15.755 alpha=90.00 beta=90.00 gamma=90.00
Fractional coordinates of all 40 atoms:
Sm1 0.500 0.508 0.312
Sm2 0.500 0.492 0.688
Sm3 0.500 0.008 0.188
Sm4 0.500 0.992 0.812
Sm5 0.500 0.719 0.165
Sm6 0.500 0.281 0.835
Sm7 0.500 0.219 0.335
Sm8 0.500 0.781 0.665
Sm9 0.000 0.711 0.381
Sm10 0.000 0.289 0.619
Sm11 0.000 0.211 0.119
Sm12 0.000 0.789 0.881
Sm13 0.000 0.500 0.000
Sm14 0.000 0.000 0.500
V1 0.000 0.500 0.500
V2 0.000 0.000 0.000
Se1 0.500 0.854 0.473
Se2 0.500 0.146 0.527
Se3 0.500 0.354 0.027
Se4 0.500 0.646 0.973
Se5 0.500 0.880 0.033
Se6 0.500 0.120 0.967
Se7 0.500 0.380 0.467
Se8 0.500 0.620 0.533
Se9 0.000 0.568 0.172
Se10 0.000 0.432 0.828
Se11 0.000 0.068 0.328
Se12 0.000 0.932 0.672
Se13 0.000 0.844 0.235
Se14 0.000 0.156 0.765
Se15 0.000 0.344 0.265
Se16 0.000 0.656 0.735
O1 0.500 0.673 0.312
O2 0.500 0.327 0.688
O3 0.500 0.173 0.188
O4 0.500 0.827 0.812
O5 0.000 0.547 0.381
O6 0.000 0.453 0.619
O7 0.000 0.047 0.119
O8 0.000 0.953 0.881

density: 6.64 g/cm3
DFT total energy: -268.22 eV for the cell shown
crystal system: orthorhombic
size of the total moment: 0.101 μB/atom
space group: Pbam